[1]
The following is a PBE-GGA calculation of a relaxed IrAu3 crystal, from the Alexandria database.

Results
N(E_F) = 3.5 states/eV/cell
energy of formation = 0.312 eV/atom

```
data_IrAu3
_chemical_formula_sum 'Ir1 Au3'
_symmetry_space_group_name_H-M 'P m m m'
_symmetry_Int_Tables_number 47
_cell_length_a 2.821
_cell_length_b 4.020
_cell_length_c 6.045
_cell_angle_alpha 90.00
_cell_angle_beta 90.00
_cell_angle_gamma 90.00
loop_
_symmetry_equiv_pos_as_xyz
'x,y,z'
'-x,-y,-z'
'-x,-y,z'
'x,y,-z'
'x,-y,-z'
'-x,y,z'
'-x,y,-z'
'x,-y,z'
loop_
_atom_site_label
_atom_site_type_symbol
_atom_site_fract_x
_atom_site_fract_y
_atom_site_fract_z
Ir1 Ir 0.000 0.000 0.000
Au1 Au 0.000 0.000 0.500
Au2 Au 0.500 0.500 0.239
```

[2]
The following is a PBE-GGA calculation of a relaxed LaPm3Au2 crystal, from the Alexandria database.

Results
N(E_F) = 12.0 states/eV/cell
energy of formation = -0.564 eV/atom
energy above the most stable polymorph in this dataset = 0 meV/atom

```
data_LaPm3Au2
_chemical_formula_sum 'La2 Pm6 Au4'
_symmetry_space_group_name_H-M 'P m c 21'
_symmetry_Int_Tables_number 26
_cell_length_a 5.114
_cell_length_b 9.290
_cell_length_c 7.341
_cell_angle_alpha 90.00
_cell_angle_beta 90.00
_cell_angle_gamma 90.00
loop_
_symmetry_equiv_pos_as_xyz
'x,y,z'
'-x,-y,z+1/2'
'-x,y,z'
'x,-y,z+1/2'
loop_
_atom_site_label
_atom_site_type_symbol
_atom_site_fract_x
_atom_site_fract_y
_atom_site_fract_z
La1 La 0.000 0.075 0.000
Pm1 Pm 0.000 0.338 0.645
Pm2 Pm 0.500 0.166 0.343
Pm3 Pm 0.500 0.428 0.986
Au1 Au 0.000 0.348 0.239
Au2 Au 0.500 0.158 0.749
```

[3]
The following is a PBE-GGA calculation of a relaxed Lu2HfPb crystal, from the Alexandria database.

Results
N(E_F) = 16.2 states/eV/cell
energy of formation = 0.111 eV/atom
energy above the most stable polymorph in this dataset = 254 meV/atom

```
data_Lu2HfPb
_chemical_formula_sum 'Lu6 Hf3 Pb3'
_symmetry_space_group_name_H-M 'R -3 m'
_symmetry_Int_Tables_number 166
_symmetry_space_group_name_Hall '-R 3 2"'
_cell_length_a 3.3860
_cell_length_b 3.3860
_cell_length_c 34.3245
_cell_angle_alpha 90.00
_cell_angle_beta 90.00
_cell_angle_gamma 120.00
loop_
_atom_site_label
_atom_site_type_symbol
_atom_site_fract_x
_atom_site_fract_y
_atom_site_fract_z
Lu1 Lu 0.0000 0.0000 0.0923
Hf1 Hf 0.0000 0.0000 0.5000
Pb1 Pb 0.0000 0.0000 0.0000
```

[4]
The following is a PBE-GGA calculation of a relaxed LiMgCr2 crystal, from the Alexandria database.

Results
N(E_F) = 4.3 states/eV/cell
energy of formation = 0.577 eV/atom

```
data_LiMgCr2
_chemical_formula_sum 'Li1 Mg1 Cr2'
_symmetry_space_group_name_H-M 'P m m m'
_symmetry_Int_Tables_number 47
_cell_length_a 2.488
_cell_length_b 4.548
_cell_length_c 4.794
_cell_angle_alpha 90.00
_cell_angle_beta 90.00
_cell_angle_gamma 90.00
loop_
_symmetry_equiv_pos_as_xyz
'x,y,z'
'-x,-y,-z'
'-x,-y,z'
'x,y,-z'
'x,-y,-z'
'-x,y,z'
'-x,y,-z'
'x,-y,z'
loop_
_atom_site_label
_atom_site_type_symbol
_atom_site_fract_x
_atom_site_fract_y
_atom_site_fract_z
Li1 Li 0.000 0.000 0.000
Mg1 Mg 0.000 0.000 0.500
Cr1 Cr 0.500 0.500 0.242
```

[5]
The following is a PBE-GGA calculation of a relaxed Tl3Pd2WSe6 crystal, from the Alexandria database.

Results
ΔE_f (raw) = -223 meV/atom
N(E_F) = 17.1 states/eV/cell

```
data_Tl3Pd2WSe6
_chemical_formula_sum 'Tl6 Pd4 W2 Se12'
_symmetry_space_group_name_H-M 'C 1 2/m 1'
_symmetry_Int_Tables_number 12
_cell_length_a 6.771
_cell_length_b 11.718
_cell_length_c 7.666
_cell_angle_alpha 90.00
_cell_angle_beta 106.93
_cell_angle_gamma 90.00
loop_
_symmetry_equiv_pos_as_xyz
'x,y,z'
'-x,-y,-z'
'-x,y,-z'
'x,-y,z'
'x+1/2,y+1/2,z'
'-x+1/2,-y+1/2,-z'
'-x+1/2,y+1/2,-z'
'x+1/2,-y+1/2,z'
loop_
_atom_site_label
_atom_site_type_symbol
_atom_site_fract_x
_atom_site_fract_y
_atom_site_fract_z
Tl1 Tl 0.000 0.000 0.000
Tl2 Tl 0.000 0.336 0.000
Pd1 Pd 0.000 0.166 0.500
W1 W 0.000 0.500 0.500
Se1 Se 0.223 0.336 0.681
Se2 Se 0.233 0.000 0.680
```

[6]
The following is a PBE-GGA calculation of a relaxed SrPaNbN4 crystal, from the Alexandria database.

Results
ΔE_f (raw) = -1025 meV/atom
N(E_F) = 3.8 states/eV/cell

```
data_SrPaNbN4
_chemical_formula_sum 'Sr4 Pa4 Nb4 N16'
_symmetry_space_group_name_H-M 'C m c m'
_symmetry_Int_Tables_number 63
_symmetry_space_group_name_Hall '-C 2c 2'
_cell_length_a 5.738
_cell_length_b 12.710
_cell_length_c 5.752
_cell_angle_alpha 90.00
_cell_angle_beta 90.00
_cell_angle_gamma 90.00
loop_
_atom_site_label
_atom_site_type_symbol
_atom_site_fract_x
_atom_site_fract_y
_atom_site_fract_z
Sr1 Sr 0.000 0.105 0.250
Pa1 Pa 0.000 0.388 0.250
Nb1 Nb 0.000 0.232 0.750
N1 N 0.000 0.084 0.750
N2 N 0.000 0.454 0.750
N3 N 0.250 0.250 0.000
```

[7]
The following is a PBE-GGA calculation of a relaxed Th3CSeN crystal, from the Alexandria database.

Results
ΔE_f (raw) = -1127 meV/atom
N(E_F) = 7.6 states/eV/cell

```
data_Th3CSeN
_chemical_formula_sum 'Th6 C2 Se2 N2'
_symmetry_space_group_name_H-M 'P 1 21/m 1'
_symmetry_Int_Tables_number 11
_cell_length_a 8.073
_cell_length_b 3.918
_cell_length_c 8.920
_cell_angle_alpha 90.00
_cell_angle_beta 103.56
_cell_angle_gamma 90.00
loop_
_symmetry_equiv_pos_as_xyz
'x,y,z'
'-x,-y,-z'
'-x,y+1/2,-z'
'x,-y+1/2,z'
loop_
_atom_site_label
_atom_site_type_symbol
_atom_site_fract_x
_atom_site_fract_y
_atom_site_fract_z
Th1 Th 0.058 0.250 0.350
Th2 Th 0.297 0.250 0.963
Th3 Th 0.376 0.750 0.633
C1 C 0.163 0.250 0.649
Se1 Se 0.319 0.750 0.269
N1 N 0.411 0.750 0.899
```

[8]
The following is a PBE-GGA calculation of a relaxed Li2Nd2Hg3 crystal, from the Alexandria database.

Results
N(E_F) = 10.7 states/eV/cell
energy of formation = -0.348 eV/atom

```
data_Li2Nd2Hg3
_chemical_formula_sum 'Li4 Nd4 Hg6'
_symmetry_space_group_name_H-M 'C m m m'
_symmetry_Int_Tables_number 65
_symmetry_space_group_name_Hall '-C 2 2'
_cell_length_a 3.985
_cell_length_b 23.907
_cell_length_c 3.486
_cell_angle_alpha 90.00
_cell_angle_beta 90.00
_cell_angle_gamma 90.00
loop_
_atom_site_label
_atom_site_type_symbol
_atom_site_fract_x
_atom_site_fract_y
_atom_site_fract_z
Li1 Li 0.000 0.217 0.000
Nd1 Nd 0.000 0.083 0.000
Hg1 Hg 0.000 0.331 0.500
Hg2 Hg 0.000 0.500 0.500
```